Here is a geometry-optimized TbPO4F structure from Alexandria via LeMat-Bulk. Energies are from PBE.

Summary:
- VASP energy (eV/atom) = -7.2635
- space-group type = C2/m, No. 12
- ρ (Mg/m³) = 4.4
- Fermi-level density of states (states/eV/atom) = 0.3620

```
TbPO4F
1.0
-5.803 0.249 -0.029
-1.567 -0.879 5.524
-1.189 6.041 2.134
F Tb O P
2 2 8 2
Direct
0.016 0.016 0.186
0.984 0.984 0.814
0.206 0.206 0.886
0.794 0.794 0.114
0.131 0.477 0.161
0.472 0.472 0.772
0.477 0.131 0.161
0.523 0.869 0.839
0.869 0.523 0.839
0.717 0.717 0.488
0.528 0.528 0.228
0.283 0.283 0.512
0.645 0.645 0.729
0.355 0.355 0.271
```